A plane-wave DFT calculation with GGA-PBE was carried out for an optimized crystal structure of Y2BeTc.

For the final energy, the calculation gives -54.4 eV for the cell shown. As for the energy of formation from the pure elements: -0.19 eV per formula unit. The density of states at the Fermi level is 7.9 states/eV/cell. As for the symmetry: Amm2.

Cell: 3.937 4.065 10.731 Å, 90.00 90.00 90.00°
Positions (direct):
Y 0.000 0.000 0.000
Y 0.000 0.500 0.500
Y 0.500 0.000 0.282
Y 0.500 0.500 0.782
Be 0.000 0.000 0.698
Be 0.000 0.500 0.198
Tc 0.500 0.000 0.584
Tc 0.500 0.500 0.084